1.
Mg6Si5: optimized geometry, PBE.

The structure in CIF format:
```
data_Mg6Si5
_cell_length_a 5.3146
_cell_length_b 5.8487
_cell_length_c 14.2181
_cell_angle_alpha 100.38
_cell_angle_beta 96.95
_cell_angle_gamma 93.99
_symmetry_space_group_name_H-M 'P 1'
_symmetry_Int_Tables_number 1
loop_
_symmetry_equiv_pos_as_xyz
'x,y,z'
loop_
_atom_site_label
_atom_site_type_symbol
_atom_site_fract_x
_atom_site_fract_y
_atom_site_fract_z
Si1 Si 0.2698 0.5146 0.7843
Si2 Si 0.8285 0.5848 0.5524
Si3 Si 0.2698 0.5126 0.2901
Si4 Si 0.9149 0.2985 0.6645
Si5 Si 0.1067 0.9249 0.6395
Si6 Si 0.0669 0.8767 0.3139
Si7 Si 0.5634 0.1483 0.1045
Si8 Si 0.3571 0.2078 0.4050
Si9 Si 0.3665 0.5050 0.1244
Si10 Si 0.1023 0.8814 0.8053
Mg1 Mg 0.7764 0.4699 0.8430
Mg2 Mg 0.8448 0.0705 0.4695
Mg3 Mg 0.0666 0.1089 0.1594
Mg4 Mg 0.7926 0.0048 0.9447
Mg5 Mg 0.3169 0.2630 0.9307
Mg6 Mg 0.6026 0.8738 0.7146
Mg7 Mg 0.4103 0.3092 0.6051
Mg8 Mg 0.2910 0.7731 0.9882
Mg9 Mg 0.5650 0.9111 0.2526
Mg10 Mg 0.8467 0.5510 0.0703
Mg11 Mg 0.7827 0.4759 0.3487
Mg12 Mg 0.3516 0.7345 0.4857
```

E_tot ... -3.291 eV/atom
Formation energy without anion corrections ... 0.04 eV per atom


2.
Mg5Si9: optimized geometry, PBE.

The structure in CIF format:
```
data_Mg5Si9
_cell_length_a 6.0035
_cell_length_b 7.5570
_cell_length_c 13.2487
_cell_angle_alpha 78.15
_cell_angle_beta 79.15
_cell_angle_gamma 64.92
_symmetry_space_group_name_H-M 'P 1'
_symmetry_Int_Tables_number 1
loop_
_symmetry_equiv_pos_as_xyz
'x,y,z'
loop_
_atom_site_label
_atom_site_type_symbol
_atom_site_fract_x
_atom_site_fract_y
_atom_site_fract_z
Si1 Si 0.5358 0.7445 0.4674
Si2 Si 0.9881 0.3033 0.3097
Si3 Si 0.7239 0.3665 0.0891
Si4 Si 0.9795 0.8978 0.1997
Si5 Si 0.9483 0.0306 0.8399
Si6 Si 0.6418 0.7004 0.0107
Si7 Si 0.8228 0.6642 0.3140
Si8 Si 0.4947 0.8921 0.7165
Si9 Si 0.3930 0.2520 0.6862
Si10 Si 0.6623 0.1840 0.9808
Si11 Si 0.1088 0.4490 0.8162
Si12 Si 0.6175 0.9331 0.1175
Si13 Si 0.7359 0.9017 0.5504
Si14 Si 0.2038 0.4459 0.3898
Si15 Si 0.8078 0.7752 0.8364
Si16 Si 0.8271 0.1989 0.6729
Si17 Si 0.2347 0.3977 0.9849
Si18 Si 0.1383 0.1783 0.1404
Mg1 Mg 0.1829 0.7550 0.6548
Mg2 Mg 0.0844 0.8869 0.3920
Mg3 Mg 0.9473 0.5071 0.5868
Mg4 Mg 0.5987 0.4807 0.8107
Mg5 Mg 0.3293 0.0611 0.9084
Mg6 Mg 0.2401 0.1187 0.5203
Mg7 Mg 0.4604 0.6142 0.2336
Mg8 Mg 0.6216 0.3354 0.4811
Mg9 Mg 0.5313 0.1765 0.2696
Mg10 Mg 0.1397 0.7492 0.0204
```

E_tot ... -3.921 eV/atom
Formation energy without anion corrections ... 0.13 eV per atom


3.
MgSi2: optimized geometry, PBE.

The structure in CIF format:
```
data_MgSi2
_cell_length_a 5.5204
_cell_length_b 5.5204
_cell_length_c 12.3030
_cell_angle_alpha 70.20
_cell_angle_beta 70.20
_cell_angle_gamma 40.14
_symmetry_space_group_name_H-M 'P 1'
_symmetry_Int_Tables_number 1
loop_
_symmetry_equiv_pos_as_xyz
'x,y,z'
loop_
_atom_site_label
_atom_site_type_symbol
_atom_site_fract_x
_atom_site_fract_y
_atom_site_fract_z
Si1 Si 0.9223 0.9223 0.2103
Si2 Si 0.4530 0.4530 0.9314
Si3 Si 0.0307 0.0307 0.3550
Si4 Si 0.1663 0.1663 0.6552
Si5 Si 0.6770 0.6770 0.3416
Si6 Si 0.5386 0.5386 0.0878
Si7 Si 0.6112 0.6112 0.5570
Si8 Si 0.9484 0.9484 0.8198
Mg1 Mg 0.3285 0.3285 0.4220
Mg2 Mg 0.2049 0.2049 0.8751
Mg3 Mg 0.2298 0.2298 0.1280
Mg4 Mg 0.8873 0.8873 0.6169
```

E_tot ... -4.044 eV/atom
Formation energy without anion corrections ... 0.10 eV per atom


4.
Mg6Si5: optimized geometry, PBE.

The structure in CIF format:
```
data_Mg6Si5
_cell_length_a 4.1779
_cell_length_b 7.1839
_cell_length_c 14.5183
_cell_angle_alpha 76.93
_cell_angle_beta 90.00
_cell_angle_gamma 90.00
_symmetry_space_group_name_H-M 'P 1'
_symmetry_Int_Tables_number 1
loop_
_symmetry_equiv_pos_as_xyz
'x,y,z'
loop_
_atom_site_label
_atom_site_type_symbol
_atom_site_fract_x
_atom_site_fract_y
_atom_site_fract_z
Mg1 Mg 0.0000 0.8937 0.9433
Mg2 Mg 0.5000 0.5451 0.9499
Mg3 Mg 0.0000 0.0224 0.4295
Mg4 Mg 0.5000 0.0115 0.7809
Mg5 Mg 0.0000 0.7563 0.2554
Mg6 Mg 0.0000 0.1830 0.0939
Mg7 Mg 0.0000 0.3212 0.8537
Mg8 Mg 0.0000 0.5753 0.5214
Mg9 Mg 0.5000 0.8157 0.0967
Mg10 Mg 0.5000 0.5430 0.7077
Mg11 Mg 0.5000 0.2320 0.5641
Mg12 Mg 0.5000 0.3998 0.2107
Si1 Si 0.5000 0.4936 0.4006
Si2 Si 0.0000 0.9365 0.6455
Si3 Si 0.0000 0.7133 0.8011
Si4 Si 0.5000 0.1430 0.9572
Si5 Si 0.0000 0.5735 0.0886
Si6 Si 0.5000 0.8216 0.3895
Si7 Si 0.5000 0.8555 0.5561
Si8 Si 0.0000 0.3778 0.3493
Si9 Si 0.5000 0.0171 0.2314
Si10 Si 0.0000 0.2653 0.6773
```

E_tot ... -3.335 eV/atom
Formation energy without anion corrections ... 0.00 eV per atom


5.
Mg5Si9: optimized geometry, PBE.

The structure in CIF format:
```
data_Mg5Si9
_cell_length_a 6.3361
_cell_length_b 7.1704
_cell_length_c 12.8573
_cell_angle_alpha 85.27
_cell_angle_beta 81.03
_cell_angle_gamma 66.70
_symmetry_space_group_name_H-M 'P 1'
_symmetry_Int_Tables_number 1
loop_
_symmetry_equiv_pos_as_xyz
'x,y,z'
loop_
_atom_site_label
_atom_site_type_symbol
_atom_site_fract_x
_atom_site_fract_y
_atom_site_fract_z
Mg1 Mg 0.3667 0.8674 0.5418
Mg2 Mg 0.6939 0.2534 0.4292
Mg3 Mg 0.9095 0.8184 0.5276
Mg4 Mg 0.7042 0.5082 0.6467
Mg5 Mg 0.6251 0.9903 0.9363
Mg6 Mg 0.2735 0.3957 0.8377
Mg7 Mg 0.3162 0.8231 0.1365
Mg8 Mg 0.5672 0.9636 0.2890
Mg9 Mg 0.9084 0.6538 0.0944
Mg10 Mg 0.1512 0.3124 0.4812
Si1 Si 0.7611 0.3088 0.8354
Si2 Si 0.5870 0.8736 0.7343
Si3 Si 0.6579 0.5396 0.2624
Si4 Si 0.0556 0.1161 0.9394
Si5 Si 0.7505 0.6111 0.4238
Si6 Si 0.9350 0.1058 0.6535
Si7 Si 0.1268 0.9783 0.3555
Si8 Si 0.4980 0.3628 0.0871
Si9 Si 0.5208 0.1704 0.6260
Si10 Si 0.2998 0.8097 0.8596
Si11 Si 0.8317 0.0556 0.1039
Si12 Si 0.0413 0.6972 0.3074
Si13 Si 0.2551 0.5300 0.6260
Si14 Si 0.5977 0.5932 0.9618
Si15 Si 0.2057 0.2604 0.0541
Si16 Si 0.9793 0.2201 0.2140
Si17 Si 0.3774 0.3903 0.2768
Si18 Si 0.0031 0.7910 0.7589
```

E_tot ... -3.922 eV/atom
Formation energy without anion corrections ... 0.13 eV per atom


6.
Mg5Si9: optimized geometry, PBE.

The structure in CIF format:
```
data_Mg5Si9
_cell_length_a 7.5657
_cell_length_b 7.3325
_cell_length_c 11.4881
_cell_angle_alpha 73.91
_cell_angle_beta 104.41
_cell_angle_gamma 120.39
_symmetry_space_group_name_H-M 'P 1'
_symmetry_Int_Tables_number 1
loop_
_symmetry_equiv_pos_as_xyz
'x,y,z'
loop_
_atom_site_label
_atom_site_type_symbol
_atom_site_fract_x
_atom_site_fract_y
_atom_site_fract_z
Mg1 Mg 0.0526 0.1747 0.5924
Mg2 Mg 0.6940 0.3525 0.3938
Mg3 Mg 0.3105 0.9108 0.0325
Mg4 Mg 0.5464 0.4729 0.5959
Mg5 Mg 0.2193 0.3058 0.3291
Mg6 Mg 0.2018 0.5054 0.8419
Mg7 Mg 0.5160 0.6072 0.1122
Mg8 Mg 0.6533 0.8479 0.7414
Mg9 Mg 0.9924 0.8221 0.4459
Mg10 Mg 0.7429 0.1727 0.9259
Si1 Si 0.9928 0.0177 0.9097
Si2 Si 0.9925 0.9270 0.1260
Si3 Si 0.6489 0.2378 0.1480
Si4 Si 0.6372 0.9415 0.4895
Si5 Si 0.3724 0.9494 0.7686
Si6 Si 0.3950 0.0519 0.5506
Si7 Si 0.9941 0.7490 0.7025
Si8 Si 0.2808 0.7190 0.3480
Si9 Si 0.3376 0.0717 0.2428
Si10 Si 0.9551 0.5685 0.2050
Si11 Si 0.0864 0.4759 0.0669
Si12 Si 0.9156 0.4410 0.6263
Si13 Si 0.2739 0.6604 0.5610
Si14 Si 0.5863 0.6938 0.3455
Si15 Si 0.9050 0.6538 0.9014
Si16 Si 0.5612 0.4381 0.9496
Si17 Si 0.3109 0.2093 0.8149
Si18 Si 0.8249 0.0222 0.2324
```

E_tot ... -3.925 eV/atom
Formation energy without anion corrections ... 0.13 eV per atom


7.
Mg5Si9: optimized geometry, PBE.

The structure in CIF format:
```
data_Mg5Si9
_cell_length_a 6.9982
_cell_length_b 7.0760
_cell_length_c 12.6127
_cell_angle_alpha 76.38
_cell_angle_beta 82.26
_cell_angle_gamma 62.50
_symmetry_space_group_name_H-M 'P 1'
_symmetry_Int_Tables_number 1
loop_
_symmetry_equiv_pos_as_xyz
'x,y,z'
loop_
_atom_site_label
_atom_site_type_symbol
_atom_site_fract_x
_atom_site_fract_y
_atom_site_fract_z
Si1 Si 0.2891 0.2505 0.5939
Si2 Si 0.5356 0.5731 0.4258
Si3 Si 0.4193 0.3433 0.7297
Si4 Si 0.7794 0.7302 0.9275
Si5 Si 0.4948 0.3414 0.0531
Si6 Si 0.4326 0.9253 0.3129
Si7 Si 0.6705 0.4765 0.9010
Si8 Si 0.5291 0.6163 0.7245
Si9 Si 0.9700 0.9374 0.6107
Si10 Si 0.0037 0.5597 0.2821
Si11 Si 0.0919 0.9909 0.0439
Si12 Si 0.9598 0.1387 0.8591
Si13 Si 0.2216 0.9673 0.7110
Si14 Si 0.7886 0.9239 0.3206
Si15 Si 0.7516 0.0218 0.7762
Si16 Si 0.6101 0.5757 0.2303
Si17 Si 0.8035 0.1994 0.1685
Si18 Si 0.2694 0.6281 0.1541
Mg1 Mg 0.9716 0.1714 0.3827
Mg2 Mg 0.7450 0.8666 0.1116
Mg3 Mg 0.5924 0.8743 0.5324
Mg4 Mg 0.4026 0.2999 0.3683
Mg5 Mg 0.1957 0.6585 0.9060
Mg6 Mg 0.8283 0.3638 0.5878
Mg7 Mg 0.3851 0.1104 0.9284
Mg8 Mg 0.9776 0.5442 0.7369
Mg9 Mg 0.1090 0.6642 0.4714
Mg10 Mg 0.1721 0.2474 0.1492
```

E_tot ... -3.948 eV/atom
Formation energy without anion corrections ... 0.11 eV per atom


8.
Mg5Si9: optimized geometry, PBE.

The structure in CIF format:
```
data_Mg5Si9
_cell_length_a 6.0632
_cell_length_b 6.9818
_cell_length_c 13.6471
_cell_angle_alpha 76.90
_cell_angle_beta 103.17
_cell_angle_gamma 111.00
_symmetry_space_group_name_H-M 'P 1'
_symmetry_Int_Tables_number 1
loop_
_symmetry_equiv_pos_as_xyz
'x,y,z'
loop_
_atom_site_label
_atom_site_type_symbol
_atom_site_fract_x
_atom_site_fract_y
_atom_site_fract_z
Si1 Si 0.3036 0.9469 0.8677
Si2 Si 0.6932 0.1617 0.9360
Si3 Si 0.1173 0.4352 0.5630
Si4 Si 0.8158 0.9321 0.3835
Si5 Si 0.8617 0.2841 0.6934
Si6 Si 0.8740 0.6158 0.7286
Si7 Si 0.9650 0.0664 0.8532
Si8 Si 0.8692 0.9289 0.0614
Si9 Si 0.5176 0.0994 0.5789
Si10 Si 0.5024 0.6269 0.3316
Si11 Si 0.7930 0.2035 0.2362
Si12 Si 0.0755 0.5556 0.2604
Si13 Si 0.0943 0.2505 0.1294
Si14 Si 0.3671 0.1257 0.2624
Si15 Si 0.1082 0.6297 0.0803
Si16 Si 0.9632 0.8552 0.2519
Si17 Si 0.6849 0.7106 0.8366
Si18 Si 0.7146 0.4751 0.9909
Mg1 Mg 0.3746 0.0461 0.0689
Mg2 Mg 0.3215 0.7477 0.6923
Mg3 Mg 0.9450 0.9907 0.5935
Mg4 Mg 0.4111 0.2954 0.7298
Mg5 Mg 0.2263 0.2611 0.4218
Mg6 Mg 0.5517 0.5524 0.1472
Mg7 Mg 0.6325 0.5545 0.5406
Mg8 Mg 0.2691 0.8187 0.4421
Mg9 Mg 0.2150 0.5115 0.9102
Mg10 Mg 0.7324 0.3186 0.4079
```

E_tot ... -3.912 eV/atom
Formation energy without anion corrections ... 0.14 eV per atom


Asked for DOS at the Fermi energy across the records above, the calculation gives 8.01, 7.06, 4.30, 5.63, 7.80, 7.46, 6.89, 7.00 states/eV per cell in order.